[1]
The following is a PBEsol calculation of an optimized crystal structure of Sc2FePb, from Alexandria.

Calculated values
The symmetry is R-3m, No. 166. The formation energy from the elements comes out at -0.07 eV/atom. Its total magnetization is 0.10 μB/atom. Its electronic total energy is -6.611 eV per atom. For the calculated volume, the calculation gives 19.96 A^3/atom.

```
Sc2FePb
1.0
3.272 0.000 0.000
1.636 2.833 0.000
1.636 0.944 8.614
Sc Pb Fe
2 1 1
direct
0.767 0.767 0.700
0.233 0.233 0.300
0.000 0.000 0.000
0.500 0.500 0.500
```

[2]
The following is a PBEsol calculation of an optimized crystal structure of ZnIn2Ru, from Alexandria.

Calculated values
The symmetry is I-4m2, No. 119. The formation energy from the elements comes out at 0.05 eV/atom. Its total magnetization is 0.00 μB/atom. Its electronic total energy is -4.377 eV per atom. For the calculated volume, the calculation gives 16.80 A^3/atom.

```
ZnIn2Ru
1.0
3.948 0.000 0.000
0.000 3.948 0.000
-1.974 -1.974 4.311
Ru Zn In
1 1 2
direct
0.500 0.500 0.000
0.250 0.750 0.500
0.000 0.000 0.000
0.750 0.250 0.500
```

[3]
The following is a PBEsol calculation of an optimized crystal structure of KIn2P, from Alexandria.

Calculated values
The symmetry is Cmmm, No. 65. The formation energy from the elements comes out at -0.14 eV/atom. Its total magnetization is 0.00 μB/atom. Its electronic total energy is -3.363 eV per atom. For the calculated volume, the calculation gives 28.94 A^3/atom.

```
KIn2P
1.0
3.902 0.000 0.000
0.000 5.732 0.046
0.000 -2.527 5.155
P In K
1 2 1
direct
0.500 0.500 0.000
0.000 0.685 0.816
0.000 0.315 0.184
0.500 0.000 0.500
```

[4]
The following is a PBEsol calculation of an optimized crystal structure of Rb2AgPdF6, from Alexandria.

Calculated values
The symmetry is Fm-3m, No. 225. Its total magnetization is 0.09 μB/atom. Its electronic total energy is -4.196 eV per atom. The value obtained for the formation energy from raw total energies is -1907.1 meV per atom. For the calculated volume, the calculation gives 16.03 A^3/atom.

```
Rb2AgPdF6
1.0
6.097 0.000 0.000
3.049 5.280 0.000
3.049 1.760 4.978
Rb Pd F Ag
2 1 6 1
direct
0.250 0.250 0.250
0.750 0.750 0.750
0.000 0.000 0.000
0.761 0.761 0.239
0.239 0.239 0.761
0.761 0.239 0.239
0.761 0.239 0.761
0.239 0.761 0.239
0.239 0.761 0.761
0.500 0.500 0.500
```

[5]
The following is a PBEsol calculation of an optimized crystal structure of InFeHg, from Alexandria.

Calculated values
The symmetry is Fmm2, No. 42. The formation energy from the elements comes out at 0.33 eV/atom. Its total magnetization is 0.87 μB/atom. Its electronic total energy is -3.838 eV per atom. For the calculated volume, the calculation gives 18.15 A^3/atom.

```
InFeHg
1.0
2.960 0.031 0.000
-0.024 2.960 0.000
-1.468 -1.496 6.216
In Hg Fe
1 1 1
direct
0.351 0.351 0.703
0.649 0.649 0.298
0.000 0.000 0.999
```

[6]
The following is a PBEsol calculation of an optimized crystal structure of K2YP, from Alexandria.

Calculated values
The symmetry is P4/mmm, No. 123. The formation energy from the elements comes out at -0.06 eV/atom. Its total magnetization is 0.00 μB/atom. Its electronic total energy is -3.776 eV per atom. For the calculated volume, the calculation gives 27.68 A^3/atom.

```
K2YP
1.0
-2.466 3.243 -1.400
-0.787 -2.169 -3.638
-4.770 -2.530 2.540
P K Y
1 2 1
direct
0.500 0.500 0.500
0.500 0.000 0.000
0.000 0.500 0.000
0.000 0.000 0.500
```